Record 1
An optimized crystal structure of KSrInCl6, computed with PBE.

Cell lengths 7.227, 7.227, 13.209 Å; angles 90.00, 90.00, 120.00 degrees
Fractional positions:
Sr1 0.333 0.667 0.250
Cl1 0.385 0.037 0.138
In1 0.333 0.667 0.750
Cl2 0.963 0.348 0.138
Cl3 0.963 0.615 0.362
Cl4 0.037 0.652 0.862
Cl5 0.385 0.348 0.362
In2 0.667 0.333 0.250
K1 0.000 0.000 0.000
Sr2 0.667 0.333 0.750
Cl6 0.615 0.963 0.862
Cl7 0.652 0.037 0.362
Cl8 0.652 0.615 0.138
Cl9 0.615 0.652 0.638
Cl10 0.348 0.385 0.862
Cl11 0.037 0.385 0.638
Cl12 0.348 0.963 0.638
K2 0.000 0.000 0.500

Computed properties:
Calculated total energy ... -3.613 eV per atom
Energy relative to the elements, uncorrected ... -1.7692 eV per atom
D(E_F) ... 0.00 states/eV/cell

Record 2
An optimized crystal structure of Tb6Ho2Tm3, computed with PBE.

Cell lengths 3.529, 3.529, 31.641 Å; angles 86.80, 86.80, 60.00 degrees
Fractional positions:
Tm1 0.273 0.273 0.181
Tb1 0.363 0.363 0.910
Tm2 0.727 0.727 0.819
Ho1 0.454 0.454 0.637
Tb2 0.910 0.910 0.271
Tm3 0.000 0.000 0.000
Tb3 0.637 0.637 0.090
Tb4 0.818 0.818 0.546
Tb5 0.090 0.090 0.729
Ho2 0.546 0.546 0.363
Tb6 0.182 0.182 0.454

Computed properties:
Energy relative to the elements ... 0.2 eV per formula unit
Calculated total energy ... -4.558 eV per atom
ΔE to the lowest computed polymorph ... 0.0 kJ/mol of atoms
D(E_F) ... 14.58 states/eV/cell

Record 3
An optimized crystal structure of InIO2F, computed with PBE.

Cell lengths 4.016, 4.016, 6.939 Å; angles 90.00, 90.00, 90.00 degrees
Fractional positions:
In1 0.000 0.000 0.000
F1 0.500 0.500 0.500
O1 0.000 0.500 0.000
O2 0.500 0.000 0.000
I1 0.000 0.000 0.500

Computed properties:
Calculated total energy ... -3.485 eV per atom
Energy relative to the elements, uncorrected ... -0.2701 eV per atom
D(E_F) ... 3.28 states/eV/cell

Record 4
An optimized crystal structure of CoReOs2, computed with PBE.

Cell lengths 4.608, 4.608, 4.608 Å; angles 131.00, 131.00, 71.82 degrees
Fractional positions:
Os1 0.000 0.000 0.000
Co1 0.750 0.250 0.500
Os2 0.500 0.500 0.000
Re1 0.250 0.750 0.500

Computed properties:
Energy relative to the elements ... 0.4 eV per formula unit
Calculated total energy ... -10.414 eV per atom
ΔE to the lowest computed polymorph ... 0.0 kJ/mol of atoms
D(E_F) ... 4.07 states/eV/cell

Record 5
An optimized crystal structure of Er8As3CSe4, computed with PBE.

Cell lengths 7.993, 8.054, 7.993 Å; angles 119.75, 120.00, 90.00 degrees
Fractional positions:
Er1 0.773 0.279 0.006
Er2 0.227 0.721 0.994
C1 0.000 0.500 0.000
As1 0.500 0.500 0.000
Se1 0.500 0.000 0.000
Se2 0.000 0.000 0.500
Se3 0.000 0.000 0.000
Er3 0.254 0.262 0.508
Er4 0.227 0.721 0.454
Er5 0.773 0.279 0.546
Er6 0.767 0.721 0.994
Er7 0.746 0.738 0.492
Se4 0.500 0.000 0.500
Er8 0.233 0.279 0.006
As2 0.500 0.500 0.500
As3 0.000 0.500 0.500

Computed properties:
Calculated total energy ... -6.139 eV per atom
Energy relative to the elements, uncorrected ... -1.5385 eV per atom
D(E_F) ... 4.13 states/eV/cell

Record 6
An optimized crystal structure of HoTcO4, computed with PBE.

Cell lengths 5.306, 5.021, 6.515 Å; angles 109.92, 111.41, 96.29 degrees
Fractional positions:
Tc1 0.097 0.847 0.693
O1 0.787 0.997 0.561
O2 0.059 0.712 0.918
Ho1 0.366 0.616 0.231
O3 0.641 0.793 0.082
O4 0.213 0.003 0.439
Tc2 0.903 0.153 0.307
O5 0.727 0.437 0.439
O6 0.941 0.288 0.082
O7 0.359 0.207 0.918
Ho2 0.634 0.384 0.769
O8 0.273 0.563 0.561

Computed properties:
Calculated total energy ... -8.081 eV per atom
Energy relative to the elements, uncorrected ... -2.2849 eV per atom
ΔE to the lowest computed polymorph ... 1.7 kJ/mol of atoms
D(E_F) ... 1.88 states/eV/cell

Record 7
An optimized crystal structure of Pm3Pr2ScTe6, computed with PBE.

Cell lengths 4.418, 8.925, 9.924 Å; angles 102.30, 102.86, 90.00 degrees
Fractional positions:
Te1 0.996 0.233 0.992
Pr1 0.831 0.666 0.662
Pm1 0.176 0.838 0.352
Te2 0.656 0.074 0.312
Te3 0.336 0.414 0.672
Pr2 0.169 0.334 0.338
Pm2 0.824 0.162 0.648
Sc1 0.500 0.000 0.000
Te4 0.004 0.767 0.008
Te5 0.664 0.586 0.328
Te6 0.344 0.926 0.688
Pm3 0.500 0.500 0.000

Computed properties:
Calculated total energy ... -5.438 eV per atom
Energy relative to the elements, uncorrected ... -1.3556 eV per atom
D(E_F) ... 7.13 states/eV/cell

Record 8
An optimized crystal structure of NaIn2CuTe4, computed with PBE.

Cell lengths 6.562, 6.562, 7.986 Å; angles 114.25, 114.25, 90.01 degrees
Fractional positions:
Te1 0.604 0.604 0.759
Te2 0.396 0.845 0.241
In1 0.250 0.750 0.500
In2 0.750 0.250 0.500
Te3 0.155 0.155 0.759
Na1 0.000 0.000 0.000
Cu1 0.500 0.500 0.000
Te4 0.845 0.396 0.241

Computed properties:
Calculated total energy ... -3.329 eV per atom
Energy relative to the elements, uncorrected ... -0.3970 eV per atom
D(E_F) ... 0.94 states/eV/cell

Record 9
An optimized crystal structure of TbTc2P2, computed with PBE.

Cell lengths 4.164, 4.164, 5.579 Å; angles 111.91, 111.91, 90.00 degrees
Fractional positions:
Tc1 0.750 0.250 0.500
Tc2 0.250 0.750 0.500
P1 0.631 0.631 0.263
P2 0.369 0.369 0.737
Tb1 0.000 0.000 0.000

Computed properties:
Energy relative to the elements ... -4.5 eV per formula unit
Calculated total energy ... -8.146 eV per atom
D(E_F) ... 4.19 states/eV/cell

Record 10
An optimized crystal structure of MgRuPt2, computed with PBE.

Cell lengths 2.798, 3.950, 5.603 Å; angles 90.00, 90.00, 90.00 degrees
Fractional positions:
Ru1 0.000 0.000 0.479
Mg1 0.500 0.500 0.763
Pt1 0.500 0.500 0.276
Pt2 0.000 0.000 0.982

Computed properties:
Energy relative to the elements ... -0.9 eV per formula unit
Calculated total energy ... -5.957 eV per atom
D(E_F) ... 3.61 states/eV/cell

Record 11
An optimized crystal structure of TbScNi, computed with PBE.

Cell lengths 4.601, 4.601, 4.601 Å; angles 60.00, 60.00, 60.00 degrees
Fractional positions:
Tb1 0.000 0.000 0.000
Sc1 0.500 0.500 0.500
Ni1 0.250 0.250 0.250

Computed properties:
Energy relative to the elements ... -0.5 eV per formula unit
Calculated total energy ... -5.734 eV per atom
ΔE to the lowest computed polymorph ... 13.2 kJ/mol of atoms
D(E_F) ... 2.67 states/eV/cell

Record 12
An optimized crystal structure of SiSb2Te, computed with PBE.

Cell lengths 5.748, 4.270, 4.270 Å; angles 90.00, 90.00, 90.00 degrees
Fractional positions:
Si1 0.500 0.500 0.000
Sb1 0.000 0.000 0.000
Te1 0.500 0.000 0.500
Sb2 0.000 0.500 0.500

Computed properties:
Calculated total energy ... -3.715 eV per atom
Energy relative to the elements, uncorrected ... 0.4871 eV per atom
ΔE to the lowest computed polymorph ... 38.9 kJ/mol of atoms
D(E_F) ... 2.60 states/eV/cell

Record 13
An optimized crystal structure of AgHgSb2Se4, computed with PBE.

Cell lengths 7.102, 7.102, 5.829 Å; angles 113.17, 113.17, 110.74 degrees
Fractional positions:
Sb1 0.313 0.813 0.626
Se1 0.562 0.562 0.625
Hg1 0.062 0.062 0.125
Sb2 0.813 0.313 0.626
Se2 0.322 0.804 0.126
Se3 0.804 0.322 0.126
Se4 0.062 0.062 0.625
Ag1 0.562 0.562 0.123

Computed properties:
Calculated total energy ... -3.286 eV per atom
Energy relative to the elements, uncorrected ... -0.1193 eV per atom
D(E_F) ... 2.71 states/eV/cell

Record 14
An optimized crystal structure of K2TaRe, computed with PBE.

Cell lengths 5.004, 5.004, 5.004 Å; angles 119.98, 119.98, 90.03 degrees
Fractional positions:
Ta1 0.750 0.250 0.500
K1 0.250 0.750 0.500
Re1 0.500 0.500 0.000
K2 0.000 0.000 0.000

Computed properties:
Energy relative to the elements ... 7.0 eV per formula unit
Calculated total energy ... -4.874 eV per atom
ΔE to the lowest computed polymorph ... 100.1 kJ/mol of atoms
D(E_F) ... 1.75 states/eV/cell

Record 15
An optimized crystal structure of CeSmIr2, computed with PBE.

Cell lengths 3.907, 4.181, 5.807 Å; angles 90.00, 109.63, 90.00 degrees
Fractional positions:
Ir1 0.994 0.000 0.528
Ir2 0.173 0.500 0.884
Sm1 0.441 0.500 0.422
Ce1 0.723 0.000 0.984

Computed properties:
Energy relative to the elements ... -3.0 eV per formula unit
Calculated total energy ... -7.839 eV per atom
ΔE to the lowest computed polymorph ... 0.0 kJ/mol of atoms
D(E_F) ... 2.88 states/eV/cell

Record 16
An optimized crystal structure of LaIBrO4, computed with PBE.

Cell lengths 6.721, 6.721, 6.820 Å; angles 94.15, 94.15, 64.51 degrees
Fractional positions:
O1 0.771 0.771 0.530
I1 0.376 0.376 0.334
La1 0.729 0.729 0.176
O2 0.543 0.543 0.245
O3 0.457 0.457 0.755
O4 0.138 0.514 0.158
O5 0.862 0.486 0.842
O6 0.514 0.138 0.158
La2 0.271 0.271 0.824
Br1 0.061 0.061 0.157
O7 0.486 0.862 0.842
O8 0.229 0.229 0.470
Br2 0.939 0.939 0.843
I2 0.624 0.624 0.666

Computed properties:
Calculated total energy ... -5.343 eV per atom
Energy relative to the elements, uncorrected ... -1.3456 eV per atom
D(E_F) ... 0.00 states/eV/cell

Record 17
An optimized crystal structure of Pr2H8Pd3, computed with PBE.

Cell lengths 4.716, 6.332, 6.091 Å; angles 121.32, 109.64, 90.00 degrees
Fractional positions:
H1 0.601 0.073 0.771
Pd1 0.500 0.000 0.000
H2 0.906 0.379 0.757
H3 0.094 0.621 0.243
H4 0.601 0.697 0.771
H5 0.399 0.303 0.229
H6 0.893 0.089 0.178
H7 0.399 0.927 0.229
Pr1 0.331 0.300 0.601
Pd2 0.000 0.274 0.000
H8 0.107 0.911 0.822
Pd3 0.000 0.726 0.000
Pr2 0.669 0.700 0.399

Computed properties:
Calculated total energy ... -4.343 eV per atom
D(E_F) ... 3.57 states/eV/cell

Record 18
An optimized crystal structure of LiTi3Se4, computed with PBE.

Cell lengths 6.754, 6.889, 7.913 Å; angles 90.00, 90.00, 90.00 degrees
Fractional positions:
Ti1 0.525 0.375 0.787
Se1 0.664 0.707 0.736
Se2 0.664 0.707 0.264
Se3 0.607 0.215 0.500
Ti2 0.469 0.724 0.000
Se4 0.164 0.293 0.764
Ti3 0.025 0.625 0.713
Se5 0.594 0.119 0.000
Se6 0.107 0.785 0.000
Se7 0.164 0.293 0.236
Se8 0.094 0.881 0.500
Ti4 0.969 0.276 0.500
Li1 0.468 0.869 0.500
Ti5 0.525 0.375 0.213
Li2 0.968 0.131 0.000
Ti6 0.025 0.625 0.287

Computed properties:
Calculated total energy ... -5.806 eV per atom
Energy relative to the elements, uncorrected ... -0.8641 eV per atom
D(E_F) ... 12.20 states/eV/cell

Record 19
An optimized crystal structure of HgSeSN2, computed with PBE.

Cell lengths 4.160, 4.160, 6.079 Å; angles 90.00, 90.00, 90.00 degrees
Fractional positions:
N1 0.500 0.000 0.000
N2 0.000 0.500 0.000
Se1 0.500 0.500 0.500
Hg1 0.000 0.000 0.000
S1 0.000 0.000 0.500

Computed properties:
Calculated total energy ... -2.853 eV per atom
Energy relative to the elements, uncorrected ... 2.0597 eV per atom
ΔE to the lowest computed polymorph ... 60.2 kJ/mol of atoms
D(E_F) ... 2.49 states/eV/cell

Record 20
An optimized crystal structure of Sm3YTe6, computed with PBE.

Cell lengths 7.405, 8.214, 11.292 Å; angles 90.00, 90.73, 90.00 degrees
Fractional positions:
Sm1 0.447 0.120 0.253
Te1 0.166 0.053 0.753
Te2 0.659 0.177 0.580
Sm2 0.553 0.880 0.747
Sm3 0.947 0.380 0.753
Te3 0.336 0.826 0.082
Sm4 0.000 0.000 0.500
Te4 0.841 0.677 0.920
Te5 0.664 0.174 0.918
Te6 0.334 0.553 0.747
Y1 0.000 0.000 0.000
Te7 0.666 0.447 0.253
Y2 0.500 0.500 0.500
Te8 0.834 0.947 0.247
Te9 0.836 0.674 0.582
Te10 0.159 0.323 0.080
Te11 0.164 0.326 0.418
Sm5 0.500 0.500 0.000
Te12 0.341 0.823 0.420
Sm6 0.053 0.620 0.247

Computed properties:
Calculated total energy ... -5.328 eV per atom
Energy relative to the elements, uncorrected ... -1.3810 eV per atom

Record 21
An optimized crystal structure of TiGeTe2, computed with PBE.

Cell lengths 9.723, 9.723, 9.723 Å; angles 21.55, 21.55, 21.55 degrees
Fractional positions:
Ti1 0.500 0.500 0.500
Te1 0.896 0.896 0.896
Te2 0.104 0.104 0.104
Ge1 0.000 0.000 0.000

Computed properties:
Calculated total energy ... -4.916 eV per atom
Energy relative to the elements, uncorrected ... -0.2170 eV per atom
D(E_F) ... 3.35 states/eV/cell

Record 22
An optimized crystal structure of CaNdIrSe, computed with PBE.

Cell lengths 5.066, 5.066, 5.066 Å; angles 60.00, 60.00, 60.00 degrees
Fractional positions:
Nd1 0.750 0.750 0.750
Se1 0.500 0.500 0.500
Ir1 0.000 0.000 0.000
Ca1 0.250 0.250 0.250

Computed properties:
Calculated total energy ... -5.618 eV per atom
Energy relative to the elements, uncorrected ... -0.8390 eV per atom
D(E_F) ... 0.49 states/eV/cell

Record 23
An optimized crystal structure of MnCoSe2, computed with PBE.

Cell lengths 5.317, 5.317, 6.485 Å; angles 65.80, 65.80, 90.00 degrees
Fractional positions:
Se1 0.375 0.376 0.750
Se2 0.624 0.125 0.250
Se3 0.875 0.874 0.750
Mn1 0.500 0.500 0.000
Co1 0.000 0.000 0.000
Mn2 0.250 0.750 0.500
Co2 0.750 0.250 0.500
Se4 0.126 0.625 0.250

Computed properties:
Calculated total energy ... -5.799 eV per atom
Energy relative to the elements, uncorrected ... 0.0120 eV per atom
ΔE to the lowest computed polymorph ... 35.2 kJ/mol of atoms
D(E_F) ... 8.59 states/eV/cell

Record 24
An optimized crystal structure of Te2PCl, computed with PBE.

Cell lengths 8.738, 8.738, 8.738 Å; angles 24.15, 24.15, 24.15 degrees
Fractional positions:
Cl1 0.250 0.250 0.250
P1 0.750 0.750 0.750
Te1 0.013 0.013 0.013
Te2 0.487 0.487 0.487

Computed properties:
Calculated total energy ... -3.303 eV per atom
Energy relative to the elements, uncorrected ... 0.0821 eV per atom
ΔE to the lowest computed polymorph ... 17.1 kJ/mol of atoms
D(E_F) ... 2.77 states/eV/cell